1.
A plane-wave DFT calculation with PBE-GGA was carried out for Dy3ErSe6 after structural relaxation.

Summary:
Its total moment is 0.0 μB/cell. As for the polymorph energy (0 for the lowest one): 0 meV per atom. The value obtained for the uncorrected formation energy is -1851 meV per atom.

abc: 7.691 7.691 7.691
angles: 55.70 55.70 55.70
Fractional positions:
Dy: 0.000 0.000 0.000
Dy: 0.196 0.196 0.196
Dy: 0.499 0.499 0.499
Er: 0.695 0.695 0.695
Se: 0.094 0.406 0.794
Se: 0.294 0.903 0.597
Se: 0.406 0.794 0.094
Se: 0.597 0.294 0.903
Se: 0.794 0.094 0.406
Se: 0.903 0.597 0.294


2.
A plane-wave DFT calculation with PBE-GGA was carried out for Nb2CdRhN after structural relaxation.

Summary:
Its total moment is 0.0 μB/cell. The value obtained for the uncorrected formation energy is -289 meV per atom.

abc: 4.238 4.238 4.299
angles: 90.00 90.00 90.00
Fractional positions:
Nb: 0.000 0.500 0.000
Nb: 0.500 0.000 0.000
Cd: 0.000 0.000 0.500
Rh: 0.500 0.500 0.500
N: 0.500 0.500 0.000


3.
A plane-wave DFT calculation with PBE-GGA was carried out for Rb2H4Pt after structural relaxation.

Summary:
As for the final energy: -48.57 eV for the cell shown. Its total moment is 0.1 μB/cell.

abc: 5.863 5.863 8.366
angles: 90.00 90.00 90.00
Fractional positions:
Rb: 0.000 0.500 0.250
Rb: 0.000 0.500 0.750
Rb: 0.500 0.000 0.250
Rb: 0.500 0.000 0.750
H: 0.000 0.000 0.199
H: 0.000 0.000 0.801
H: 0.201 0.201 0.000
H: 0.299 0.701 0.500
H: 0.500 0.500 0.301
H: 0.500 0.500 0.699
H: 0.701 0.299 0.500
H: 0.799 0.799 0.000
Pt: 0.000 0.000 0.000
Pt: 0.500 0.500 0.500


4.
A plane-wave DFT calculation with PBE-GGA was carried out for Er8As3Se4 after structural relaxation.

Summary:
Its total moment is 0.0 μB/cell. The value obtained for the uncorrected formation energy is -1531 meV per atom.

abc: 8.043 8.043 8.036
angles: 119.85 119.85 90.12
Fractional positions:
Er: 0.242 0.242 0.494
Er: 0.246 0.246 0.998
Er: 0.246 0.754 0.000
Er: 0.247 0.753 0.500
Er: 0.753 0.247 0.500
Er: 0.754 0.246 0.000
Er: 0.754 0.754 0.002
Er: 0.758 0.758 0.506
As: 0.000 0.000 0.000
As: 0.000 0.500 0.500
As: 0.500 0.000 0.500
Se: 0.000 0.500 0.000
Se: 0.500 0.000 0.000
Se: 0.500 0.500 0.000
Se: 0.500 0.500 0.500


5.
A plane-wave DFT calculation with PBE-GGA was carried out for LaTh5Ge6 after structural relaxation.

Summary:
For the formation enthalpy at 0 K, the calculation gives -0.758 eV/atom. Its total moment is 0.0 μB/cell.

abc: 7.476 7.476 7.475
angles: 99.60 99.60 119.94
Fractional positions:
La: 0.000 0.000 0.000
Th: 0.166 0.834 0.500
Th: 0.333 0.667 0.000
Th: 0.500 0.500 0.500
Th: 0.667 0.333 0.000
Th: 0.834 0.166 0.500
Ge: 0.084 0.422 0.253
Ge: 0.254 0.254 0.748
Ge: 0.422 0.084 0.253
Ge: 0.578 0.916 0.747
Ge: 0.746 0.746 0.252
Ge: 0.916 0.578 0.747


6.
A plane-wave DFT calculation with PBE-GGA was carried out for UAlTcOs after structural relaxation.

Summary:
For the formation enthalpy at 0 K, the calculation gives -0.201 eV/atom. Its total moment is 1.0 μB/cell.

abc: 4.583 4.583 4.583
angles: 60.00 60.00 60.00
Fractional positions:
U: 0.000 0.000 0.000
Al: 0.500 0.500 0.500
Tc: 0.250 0.250 0.250
Os: 0.750 0.750 0.750